# GGA-PBE BaLiInGa, optimized geometry
data_BaLiInGa
_cell_length_a 7.5101
_cell_length_b 7.5101
_cell_length_c 7.5101
_cell_angle_alpha 90.00
_cell_angle_beta 90.00
_cell_angle_gamma 90.00
_symmetry_space_group_name_H-M 'F -4 3 m'
_symmetry_Int_Tables_number 216
_symmetry_space_group_name_Hall 'F -4 2 3'
loop_
_atom_site_label
_atom_site_fract_x
_atom_site_fract_y
_atom_site_fract_z
Ba1 0.0000 0.0000 0.0000
Li1 0.2500 0.2500 0.2500
In1 0.0000 0.0000 0.5000
Ga1 0.2500 0.2500 0.7500
# calculated total energy	-42.7	eV per cell
# Fermi-level density of states	9.00	states/eV/cell
# DFT formation energy	-267	meV per atom
# calculated volume	26.47	Å³/atom
# crystal system	cubic

---

# GGA-PBE BaLi2In4Ga, optimized geometry
data_BaLi2In4Ga
_cell_length_a 4.9187
_cell_length_b 4.9187
_cell_length_c 30.4845
_cell_angle_alpha 90.00
_cell_angle_beta 90.00
_cell_angle_gamma 120.00
_symmetry_space_group_name_H-M 'R -3 m'
_symmetry_Int_Tables_number 166
_symmetry_space_group_name_Hall '-R 3 2"'
loop_
_atom_site_label
_atom_site_fract_x
_atom_site_fract_y
_atom_site_fract_z
Ba1 0.0000 0.0000 0.0000
Li1 0.0000 0.0000 0.2250
In1 0.0000 0.0000 0.1240
In2 0.0000 0.0000 0.4063
Ga1 0.0000 0.0000 0.5000
# calculated total energy	-65.2	eV per cell
# Fermi-level density of states	11.32	states/eV/cell
# DFT formation energy	-252	meV per atom
# calculated volume	26.61	Å³/atom
# crystal system	trigonal

---

# GGA-PBE Ba2LiIn3Ga4, optimized geometry
data_Ba2LiIn3Ga4
_cell_length_a 4.7908
_cell_length_b 4.7908
_cell_length_c 11.5301
_cell_angle_alpha 90.00
_cell_angle_beta 90.00
_cell_angle_gamma 90.00
_symmetry_space_group_name_H-M 'P -4 m 2'
_symmetry_Int_Tables_number 115
loop_
_symmetry_equiv_pos_as_xyz
'x,y,z'
'y,-x,-z'
'-x,-y,z'
'-y,x,-z'
'-x,y,z'
'-y,-x,-z'
'x,-y,z'
'y,x,-z'
loop_
_atom_site_label
_atom_site_fract_x
_atom_site_fract_y
_atom_site_fract_z
Ba1 0.0000 0.5000 0.2443
Li1 0.0000 0.0000 0.5000
In1 0.0000 0.5000 0.8689
In2 0.5000 0.5000 0.5000
Ga1 0.0000 0.0000 0.0000
Ga2 0.0000 0.5000 0.6297
Ga3 0.5000 0.5000 0.0000
# calculated total energy	-29.8	eV per cell
# Fermi-level density of states	4.48	states/eV/cell
# DFT formation energy	-374	meV per atom
# calculated volume	26.46	Å³/atom
# crystal system	tetragonal

---

# GGA-PBE BaMgIn2Ga4, optimized geometry
data_BaMgIn2Ga4
_cell_length_a 4.9247
_cell_length_b 4.9247
_cell_length_c 28.5578
_cell_angle_alpha 90.00
_cell_angle_beta 90.00
_cell_angle_gamma 120.00
_symmetry_space_group_name_H-M 'R -3 m'
_symmetry_Int_Tables_number 166
_symmetry_space_group_name_Hall '-R 3 2"'
loop_
_atom_site_label
_atom_site_fract_x
_atom_site_fract_y
_atom_site_fract_z
Ba1 0.0000 0.0000 0.0000
Mg1 0.0000 0.0000 0.5000
In1 0.0000 0.0000 0.2383
Ga1 0.0000 0.0000 0.1324
Ga2 0.0000 0.0000 0.4024
# calculated total energy	-68.0	eV per cell
# Fermi-level density of states	7.36	states/eV/cell
# DFT formation energy	-194	meV per atom
# calculated volume	24.99	Å³/atom
# crystal system	trigonal

---

# GGA-PBE BaMg4In2Ga, optimized geometry
data_BaMg4In2Ga
_cell_length_a 4.9868
_cell_length_b 4.9868
_cell_length_c 29.8853
_cell_angle_alpha 90.00
_cell_angle_beta 90.00
_cell_angle_gamma 120.00
_symmetry_space_group_name_H-M 'R -3 m'
_symmetry_Int_Tables_number 166
_symmetry_space_group_name_Hall '-R 3 2"'
loop_
_atom_site_label
_atom_site_fract_x
_atom_site_fract_y
_atom_site_fract_z
Ba1 0.0000 0.0000 0.0000
Mg1 0.0000 0.0000 0.1344
Mg2 0.0000 0.0000 0.4081
In1 0.0000 0.0000 0.2477
Ga1 0.0000 0.0000 0.5000
# calculated total energy	-54.0	eV per cell
# Fermi-level density of states	12.50	states/eV/cell
# DFT formation energy	-149	meV per atom
# calculated volume	26.82	Å³/atom
# crystal system	trigonal

---

# GGA-PBE BaMgIn4Ga2, optimized geometry
data_BaMgIn4Ga2
_cell_length_a 5.0808
_cell_length_b 5.0808
_cell_length_c 29.5065
_cell_angle_alpha 90.00
_cell_angle_beta 90.00
_cell_angle_gamma 120.00
_symmetry_space_group_name_H-M 'R -3 m'
_symmetry_Int_Tables_number 166
_symmetry_space_group_name_Hall '-R 3 2"'
loop_
_atom_site_label
_atom_site_fract_x
_atom_site_fract_y
_atom_site_fract_z
Ba1 0.0000 0.0000 0.0000
Mg1 0.0000 0.0000 0.5000
In1 0.0000 0.0000 0.1316
In2 0.0000 0.0000 0.4021
Ga1 0.0000 0.0000 0.2367
# calculated total energy	-65.1	eV per cell
# Fermi-level density of states	9.25	states/eV/cell
# DFT formation energy	-148	meV per atom
# calculated volume	27.49	Å³/atom
# crystal system	trigonal